Compound: Ce3Hg3S8
Source: Alexandria via LeMat-Bulk
Functional: PBE
Structure: optimized geometry

Space group: R-3m

abc: 7.893 7.893 7.893
angles: 64.09 64.09 64.09
Positions (direct):
Ce 0.000 0.500 0.500
Ce 0.500 0.000 0.500
Ce 0.500 0.500 0.000
Hg 0.112 0.112 0.112
Hg 0.500 0.500 0.500
Hg 0.888 0.888 0.888
S 0.254 0.254 0.729
S 0.254 0.729 0.254
S 0.257 0.257 0.257
S 0.271 0.746 0.746
S 0.729 0.254 0.254
S 0.743 0.743 0.743
S 0.746 0.271 0.746
S 0.746 0.746 0.271



Compound: Ce3HgS6
Source: Alexandria via LeMat-Bulk
Functional: PBE
Structure: optimized geometry

Space group: Cmc2_1

abc: 8.705 8.705 6.759
angles: 90.00 90.00 102.38
Positions (direct):
Ce 0.103 0.897 0.500
Ce 0.215 0.418 0.586
Ce 0.418 0.215 0.086
Ce 0.582 0.785 0.586
Ce 0.785 0.582 0.086
Ce 0.897 0.103 0.000
Hg 0.303 0.697 0.112
Hg 0.697 0.303 0.612
S 0.051 0.595 0.328
S 0.134 0.189 0.291
S 0.189 0.134 0.791
S 0.277 0.723 0.747
S 0.405 0.949 0.328
S 0.472 0.528 0.298
S 0.528 0.472 0.798
S 0.595 0.051 0.828
S 0.723 0.277 0.247
S 0.811 0.866 0.291
S 0.866 0.811 0.791
S 0.949 0.405 0.828



Compound: Ce3HgS
Source: Alexandria via LeMat-Bulk
Functional: PBE
Structure: optimized geometry

Space group: Pm-3m

abc: 5.280 5.280 5.280
angles: 90.00 90.00 90.00
Positions (direct):
Ce 0.000 0.000 0.500
Ce 0.000 0.500 0.000
Ce 0.500 0.000 0.000
Hg 0.500 0.500 0.500
S 0.000 0.000 0.000



Energy relative to the elements, uncorrected? In order: -1.084; -1.578; -0.662 eV per atom.
Calculated volume? In order: 27.1; 25.0; 29.4 A^3/atom.